Record 1
This record from the Alexandria database describes a relaxed structure of KSrPS2. The functional is GGA-PBEsol.

The structure belongs to space group P4/mmm (No. 123); the cell edges are 5.579, 5.579 and 5.760 Å and the angles 90.00°, 90.00° and 90.00°. The distinct sites, in fractional coordinates, are K at (0.000, 0.000, 0.000), Sr at (0.500, 0.500, 0.500), P at (0.500, 0.500, 0.000) and S at (0.000, 0.500, 0.500).

The calculation puts the total moment at 3.3 μB/f.u. For the final energy, the calculation gives -3.523 eV per atom. Its crystal system is tetragonal.

=====

Record 2
This record from the Alexandria database describes a relaxed structure of KSrP2S. The functional is GGA-PBEsol.

The structure belongs to space group P4/mmm (No. 123); the cell edges are 5.118, 5.118 and 5.292 Å and the angles 90.00°, 90.00° and 90.00°. The distinct sites, in fractional coordinates, are K at (0.000, 0.000, 0.000), Sr at (0.500, 0.500, 0.500), P at (0.000, 0.500, 0.000) and S at (0.000, 0.000, 0.500).

The calculation puts the total moment at 0.0 μB/f.u. For the final energy, the calculation gives -3.142 eV per atom. Its crystal system is tetragonal.

=====

Record 3
This record from the Alexandria database describes a relaxed structure of KSrP2S. The functional is GGA-PBEsol.

The structure belongs to space group P4/mmm (No. 123); the cell edges are 5.541, 5.541 and 5.511 Å and the angles 90.00°, 90.00° and 90.00°. The distinct sites, in fractional coordinates, are K at (0.000, 0.000, 0.000), Sr at (0.500, 0.500, 0.500), P at (0.000, 0.500, 0.500) and S at (0.500, 0.500, 0.000).

The calculation puts the total moment at 1.4 μB/f.u. For the final energy, the calculation gives -3.406 eV per atom. Its crystal system is tetragonal.

=====

Record 4
This record from the Alexandria database describes a relaxed structure of KPWS2. The functional is GGA-PBEsol.

The structure belongs to space group P4/mmm (No. 123); the cell edges are 4.736, 4.736 and 4.714 Å and the angles 90.00°, 90.00° and 90.00°. The distinct sites, in fractional coordinates, are K at (0.000, 0.000, 0.000), P at (0.500, 0.500, 0.000), W at (0.500, 0.500, 0.500) and S at (0.000, 0.500, 0.500).

The calculation puts the total moment at 0.0 μB/f.u. For the final energy, the calculation gives -6.234 eV per atom. Its crystal system is tetragonal.

=====

Record 5
This record from the Alexandria database describes a relaxed structure of KZrPS2. The functional is GGA-PBEsol.

The structure belongs to space group P4/mmm (No. 123); the cell edges are 4.949, 4.949 and 4.751 Å and the angles 90.00°, 90.00° and 90.00°. The distinct sites, in fractional coordinates, are K at (0.000, 0.000, 0.000), Zr at (0.500, 0.500, 0.500), P at (0.000, 0.000, 0.500) and S at (0.000, 0.500, 0.000).

The calculation puts the total moment at 0.1 μB/f.u. For the final energy, the calculation gives -3.771 eV per atom. Its crystal system is tetragonal.

=====

Record 6
This record from the Alexandria database describes a relaxed structure of KSbP2. The functional is GGA-PBEsol.

The structure belongs to space group Immm (No. 71); the cell edges are 3.590, 6.056 and 9.206 Å and the angles 90.00°, 90.00° and 90.00°. The distinct sites, in fractional coordinates, are K at (0.000, 0.000, 0.000), Sb at (0.000, 0.000, 0.500) and P at (0.000, 0.500, 0.200).

The calculation puts the total moment at 0.0 μB/f.u. For the final energy, the calculation gives -4.021 eV per atom. Its crystal system is orthorhombic.

=====

Record 7
This record from the Alexandria database describes a relaxed structure of KSbP2. The functional is GGA-PBEsol.

The structure belongs to space group I4/mmm (No. 139); the cell edges are 4.605, 4.605 and 8.080 Å and the angles 90.00°, 90.00° and 90.00°. The distinct sites, in fractional coordinates, are K at (0.000, 0.000, 0.000), Sb at (0.000, 0.000, 0.500) and P at (0.000, 0.500, 0.250).

The calculation puts the total moment at 0.0 μB/f.u. For the final energy, the calculation gives -3.946 eV per atom. Its crystal system is tetragonal.

=====

Record 8
This record from the Alexandria database describes a relaxed structure of K6SbP. The functional is GGA-PBEsol.

The structure belongs to space group P4_2/mcm (No. 132); the cell edges are 7.937, 7.937 and 11.439 Å and the angles 90.00°, 90.00° and 90.00°. The distinct sites, in fractional coordinates, are K at (0.167, 0.167, 0.000), K at (0.275, 0.275, 0.304), Sb at (0.500, 0.500, 0.000) and P at (0.000, 0.000, 0.250).

The calculation puts the total moment at 0.0 μB/f.u. For the final energy, the calculation gives -2.390 eV per atom. Its crystal system is tetragonal.

=====

Record 9
This record from the Alexandria database describes a relaxed structure of KSbP2. The functional is GGA-PBEsol.

The structure belongs to space group P4/mmm (No. 123); the cell edges are 3.867, 3.867 and 6.573 Å and the angles 90.00°, 90.00° and 90.00°. The distinct sites, in fractional coordinates, are K at (0.000, 0.000, 0.000), Sb at (0.000, 0.000, 0.500) and P at (0.500, 0.500, 0.335).

The calculation puts the total moment at 0.0 μB/f.u. For the final energy, the calculation gives -4.291 eV per atom. Its crystal system is tetragonal.

=====

Record 10
This record from the Alexandria database describes a relaxed structure of KSc2P. The functional is GGA-PBEsol.

The structure belongs to space group Imm2 (No. 44); the cell edges are 3.474, 3.807 and 17.317 Å and the angles 90.00°, 90.00° and 90.00°. The distinct sites, in fractional coordinates, are K at (0.000, 0.000, 0.000), Sc at (0.000, 0.000, 0.319), Sc at (0.000, 0.500, 0.183) and P at (0.000, 0.500, 0.697).

The calculation puts the total moment at 1.3 μB/f.u. For the final energy, the calculation gives -5.337 eV per atom. Its crystal system is orthorhombic. The formation energy comes out at -0.304 eV per atom.

=====

Record 11
This record from the Alexandria database describes a relaxed structure of KScP2. The functional is GGA-PBEsol.

The structure belongs to space group I-42d (No. 122); the cell edges are 5.307, 5.307 and 16.524 Å and the angles 90.00°, 90.00° and 90.00°. The distinct sites, in fractional coordinates, are K at (0.000, 0.000, 0.000), Sc at (0.000, 0.000, 0.500) and P at (0.054, 0.250, 0.625).

The calculation puts the total moment at 0.0 μB/f.u. For the final energy, the calculation gives -5.241 eV per atom. Its crystal system is tetragonal. The formation energy comes out at -0.411 eV per atom.

=====

Record 12
This record from the Alexandria database describes a relaxed structure of KSc2P. The functional is GGA-PBEsol.

The structure belongs to space group C2/m (No. 12); the cell edges are 6.375, 9.874 and 3.205 Å and the angles 90.00°, 119.36° and 90.00°. The distinct sites, in fractional coordinates, are K at (0.000, 0.000, 0.000), Sc at (0.250, 0.250, 0.000) and P at (0.000, 0.500, 0.000).

The calculation puts the total moment at 0.0 μB/f.u. For the final energy, the calculation gives -4.825 eV per atom. Its crystal system is monoclinic. The formation energy comes out at 0.208 eV per atom.